Entry 1:
# LiGdHg2, PBEsol geometry, DFT meta-GGA SCAN
# D(E_F) = 1.9 states/eV/f.u.
# size of the total moment = 29.77 μB per cell
# energy of formation from the pure elements = -220 kJ/mol of formula units
data_LiGdHg2
_space_group_name_H-M_alt 'F m -3 m'
_space_group_IT_number 225
_space_group_name_Hall '-F 4 2 3'
_cell_length_a 7.045
_cell_length_b 7.045
_cell_length_c 7.045
_cell_angle_alpha 90.00
_cell_angle_beta 90.00
_cell_angle_gamma 90.00
loop_
_atom_site_label
_atom_site_type_symbol
_atom_site_fract_x
_atom_site_fract_y
_atom_site_fract_z
Li1 Li 0.000 0.000 0.000
Gd1 Gd 0.000 0.000 0.500
Hg1 Hg 0.250 0.250 0.250



Entry 2:
# NaGdHg2, PBEsol geometry, DFT meta-GGA SCAN
# D(E_F) = 2.1 states/eV/f.u.
# size of the total moment = 30.09 μB per cell
# energy of formation from the pure elements = -186 kJ/mol of formula units
data_NaGdHg2
_space_group_name_H-M_alt 'F m -3 m'
_space_group_IT_number 225
_space_group_name_Hall '-F 4 2 3'
_cell_length_a 7.227
_cell_length_b 7.227
_cell_length_c 7.227
_cell_angle_alpha 90.00
_cell_angle_beta 90.00
_cell_angle_gamma 90.00
loop_
_atom_site_label
_atom_site_type_symbol
_atom_site_fract_x
_atom_site_fract_y
_atom_site_fract_z
Na1 Na 0.000 0.000 0.000
Gd1 Gd 0.000 0.000 0.500
Hg1 Hg 0.250 0.250 0.250



Entry 3:
# Gd2HgO4, PBEsol geometry, DFT meta-GGA SCAN
# D(E_F) = 0.0 states/eV/f.u.
# size of the total moment = 55.97 μB per cell
data_Gd2HgO4
_space_group_name_H-M_alt 'C 1 2/m 1'
_space_group_IT_number 12
_space_group_name_Hall '-C 2y'
_cell_length_a 13.589
_cell_length_b 3.662
_cell_length_c 10.106
_cell_angle_alpha 90.00
_cell_angle_beta 122.25
_cell_angle_gamma 90.00
loop_
_atom_site_label
_atom_site_type_symbol
_atom_site_fract_x
_atom_site_fract_y
_atom_site_fract_z
Gd1 Gd 0.119 0.000 0.461
Gd2 Gd 0.161 0.500 0.800
Hg1 Hg 0.113 0.500 0.162
O1 O 0.035 0.500 0.282
O2 O 0.082 0.000 0.653
O3 O 0.202 0.500 0.054
O4 O 0.233 0.500 0.614



Entry 4:
# PmGdHg2, PBEsol geometry, DFT meta-GGA SCAN
# D(E_F) = 4.7 states/eV/f.u.
# size of the total moment = 32.45 μB per cell
# energy of formation from the pure elements = -261 kJ/mol of formula units
data_PmGdHg2
_space_group_name_H-M_alt 'F m -3 m'
_space_group_IT_number 225
_space_group_name_Hall '-F 4 2 3'
_cell_length_a 7.412
_cell_length_b 7.412
_cell_length_c 7.412
_cell_angle_alpha 90.00
_cell_angle_beta 90.00
_cell_angle_gamma 90.00
loop_
_atom_site_label
_atom_site_type_symbol
_atom_site_fract_x
_atom_site_fract_y
_atom_site_fract_z
Pm1 Pm 0.000 0.000 0.000
Gd1 Gd 0.000 0.000 0.500
Hg1 Hg 0.250 0.250 0.250



Entry 5:
# Gd2TlHg, PBEsol geometry, DFT meta-GGA SCAN
# D(E_F) = 1.0 states/eV/f.u.
# size of the total moment = 60.67 μB per cell
# energy of formation from the pure elements = -240 kJ/mol of formula units
data_Gd2TlHg
_space_group_name_H-M_alt 'F m -3 m'
_space_group_IT_number 225
_space_group_name_Hall '-F 4 2 3'
_cell_length_a 7.438
_cell_length_b 7.438
_cell_length_c 7.438
_cell_angle_alpha 90.00
_cell_angle_beta 90.00
_cell_angle_gamma 90.00
loop_
_atom_site_label
_atom_site_type_symbol
_atom_site_fract_x
_atom_site_fract_y
_atom_site_fract_z
Gd1 Gd 0.250 0.250 0.250
Tl1 Tl 0.000 0.000 0.000
Hg1 Hg 0.000 0.000 0.500



Entry 6:
# GdHo3, PBEsol geometry, DFT meta-GGA SCAN
# D(E_F) = 5.4 states/eV/f.u.
# size of the total moment = 15.46 μB per cell
# energy of formation from the pure elements = 13 kJ/mol of formula units
data_GdHo3
_space_group_name_H-M_alt 'I 4/m m m'
_space_group_IT_number 139
_space_group_name_Hall '-I 4 2'
_cell_length_a 4.899
_cell_length_b 4.899
_cell_length_c 9.775
_cell_angle_alpha 90.00
_cell_angle_beta 90.00
_cell_angle_gamma 90.00
loop_
_atom_site_label
_atom_site_type_symbol
_atom_site_fract_x
_atom_site_fract_y
_atom_site_fract_z
Gd1 Gd 0.000 0.000 0.000
Ho1 Ho 0.000 0.000 0.500
Ho2 Ho 0.000 0.500 0.250



Entry 7:
# Gd3Ho, PBEsol geometry, DFT meta-GGA SCAN
# D(E_F) = 4.7 states/eV/f.u.
# size of the total moment = 49.22 μB per cell
# energy of formation from the pure elements = 32 kJ/mol of formula units
data_Gd3Ho
_space_group_name_H-M_alt 'I 4/m m m'
_space_group_IT_number 139
_space_group_name_Hall '-I 4 2'
_cell_length_a 4.930
_cell_length_b 4.930
_cell_length_c 9.834
_cell_angle_alpha 90.00
_cell_angle_beta 90.00
_cell_angle_gamma 90.00
loop_
_atom_site_label
_atom_site_type_symbol
_atom_site_fract_x
_atom_site_fract_y
_atom_site_fract_z
Gd1 Gd 0.000 0.000 0.000
Gd2 Gd 0.000 0.500 0.250
Ho1 Ho 0.000 0.000 0.500



Entry 8:
# GdI3O9, PBEsol geometry, DFT meta-GGA SCAN
# D(E_F) = 0.0 states/eV/f.u.
# size of the total moment = 27.83 μB per cell
data_GdI3O9
_space_group_name_H-M_alt 'P 1 21/c 1'
_space_group_IT_number 14
_space_group_name_Hall '-P 2ybc'
_cell_length_a 7.145
_cell_length_b 8.276
_cell_length_c 13.282
_cell_angle_alpha 90.00
_cell_angle_beta 101.11
_cell_angle_gamma 90.00
loop_
_atom_site_label
_atom_site_type_symbol
_atom_site_fract_x
_atom_site_fract_y
_atom_site_fract_z
Gd1 Gd 0.178 0.242 0.146
I1 I 0.177 0.717 0.114
I2 I 0.270 0.010 0.889
I3 I 0.334 0.538 0.864
O1 O 0.013 0.516 0.379
O2 O 0.031 0.176 0.484
O3 O 0.146 0.692 0.826
O4 O 0.168 0.530 0.188
O5 O 0.253 0.211 0.828
O6 O 0.318 0.054 0.026
O7 O 0.351 0.026 0.234
O8 O 0.365 0.659 0.045
O9 O 0.470 0.180 0.624



Entry 9:
# GdSI, PBEsol geometry, DFT meta-GGA SCAN
# D(E_F) = 0.0 states/eV/f.u.
# size of the total moment = 13.98 μB per cell
data_GdSI
_space_group_name_H-M_alt 'P m m n'
_space_group_IT_number 59
_cell_length_a 4.180
_cell_length_b 5.329
_cell_length_c 9.368
_cell_angle_alpha 90.00
_cell_angle_beta 90.00
_cell_angle_gamma 90.00
loop_
_space_group_symop_operation_xyz
'x,y,z'
'-x,-y,-z'
'-x+1/2,-y+1/2,z'
'x+1/2,y+1/2,-z'
'x+1/2,-y,-z'
'-x+1/2,y,z'
'-x,y+1/2,-z'
'x,-y+1/2,z'
loop_
_atom_site_label
_atom_site_type_symbol
_atom_site_fract_x
_atom_site_fract_y
_atom_site_fract_z
Gd1 Gd 0.250 0.250 0.122
S1 S 0.250 0.750 0.066
I1 I 0.250 0.750 0.642



Entry 10:
# Gd3In, PBEsol geometry, DFT meta-GGA SCAN
# D(E_F) = 2.9 states/eV/f.u.
# size of the total moment = 23.49 μB per cell
# energy of formation from the pure elements = -161 kJ/mol of formula units
data_Gd3In
_space_group_name_H-M_alt 'P m -3 m'
_space_group_IT_number 221
_space_group_name_Hall '-P 4 2 3'
_cell_length_a 4.786
_cell_length_b 4.786
_cell_length_c 4.786
_cell_angle_alpha 90.00
_cell_angle_beta 90.00
_cell_angle_gamma 90.00
loop_
_atom_site_label
_atom_site_type_symbol
_atom_site_fract_x
_atom_site_fract_y
_atom_site_fract_z
Gd1 Gd 0.000 0.000 0.500
In1 In 0.500 0.500 0.500



Entry 11:
# Gd2In, PBEsol geometry, DFT meta-GGA SCAN
# D(E_F) = 3.0 states/eV/f.u.
# size of the total moment = 31.02 μB per cell
# energy of formation from the pure elements = -145 kJ/mol of formula units
data_Gd2In
_space_group_name_H-M_alt 'P 63/m m c'
_space_group_IT_number 194
_space_group_name_Hall '-P 6c 2c'
_cell_length_a 5.3487
_cell_length_b 5.3487
_cell_length_c 6.6441
_cell_angle_alpha 90.00
_cell_angle_beta 90.00
_cell_angle_gamma 120.00
loop_
_atom_site_label
_atom_site_type_symbol
_atom_site_fract_x
_atom_site_fract_y
_atom_site_fract_z
Gd1 Gd 0.0000 0.0000 0.0000
Gd2 Gd 0.3333 0.6667 0.2500
In1 In 0.3333 0.6667 0.7500



Entry 12:
# Li2GdIn, PBEsol geometry, DFT meta-GGA SCAN
# D(E_F) = 0.8 states/eV/f.u.
# size of the total moment = 28.74 μB per cell
# energy of formation from the pure elements = -136 kJ/mol of formula units
data_Li2GdIn
_space_group_name_H-M_alt 'F m -3 m'
_space_group_IT_number 225
_space_group_name_Hall '-F 4 2 3'
_cell_length_a 6.803
_cell_length_b 6.803
_cell_length_c 6.803
_cell_angle_alpha 90.00
_cell_angle_beta 90.00
_cell_angle_gamma 90.00
loop_
_atom_site_label
_atom_site_type_symbol
_atom_site_fract_x
_atom_site_fract_y
_atom_site_fract_z
Li1 Li 0.250 0.250 0.250
Gd1 Gd 0.000 0.000 0.000
In1 In 0.000 0.000 0.500



Number 1: raw total energy -799.29 eV per cell. Number 2: raw total energy -805.18 eV per cell. Number 3: raw total energy -921.09 eV per cell. Number 4: raw total energy -967.35 eV per cell. Number 5: raw total energy -1042.56 eV per cell. Number 6: raw total energy -411.28 eV per cell. Number 7: raw total energy -450.20 eV per cell. Number 8: raw total energy -956.91 eV per cell. Number 9: raw total energy -222.18 eV per cell. Number 10: raw total energy -211.50 eV per cell. Number 11: raw total energy -305.05 eV per cell. Number 12: raw total energy -393.58 eV per cell.